No. 1
KBe2Au: optimized geometry, PBE.

POSCAR file:
```
KBe2Au
1.0
-1.382 -1.347 -2.298
2.104 -2.140 -0.011
-4.234 -4.188 5.000
Be K Au
2 1 1
Direct
0.000 0.000 0.028
0.500 0.500 0.145
0.000 0.000 0.485
0.500 0.500 0.842
```

Output
Crystal system: tetragonal
Relative energy among the computed polymorphs (meV per atom): 424
SG: P4mm, No. 99



No. 2
K2BeAu5: optimized geometry, PBE.

POSCAR file:
```
K2BeAu5
1.0
4.921 0.000 2.735
-2.558 9.121 4.603
-0.202 2.978 6.158
K Be Au
2 1 5
Direct
0.228 0.725 0.544
0.726 0.247 0.548
0.713 0.563 0.574
0.729 0.744 0.046
0.703 0.216 0.094
0.225 0.744 0.046
0.203 0.216 0.094
0.696 0.767 0.608
```

Output
Crystal system: monoclinic
SG: Cm, No. 8



No. 3
KBe2Au3: optimized geometry, PBE.

POSCAR file:
```
KBe2Au3
1.0
5.452 0.000 0.000
0.000 6.265 -2.530
0.000 -0.320 6.749
K Be Au
2 4 6
Direct
0.250 0.372 0.372
0.750 0.628 0.628
0.500 0.826 0.174
0.000 0.826 0.174
0.000 0.174 0.826
0.500 0.174 0.826
0.750 0.493 0.043
0.750 0.043 0.493
0.250 0.507 0.957
0.750 0.081 0.081
0.250 0.919 0.919
0.250 0.957 0.507
```

Output
Crystal system: orthorhombic
SG: Cmcm, No. 63



no.,density (Mg/m³),ΔH_f (0 K) (meV/atom)
1,6.03,360
2,9.22,-125
3,9.52,-230